## OsPtW2 (SCAN)

Data for a crystal of OsPtW2 relaxed with PBEsol.

Total energy ... -2.593 Ha/atom
Mass density ... 21.0 g/cm3
Density of states at the Fermi level ... 0.46 states/eV/atom
Offset from the most stable computed form ... 0.008 eV/atom
ΔE_f ... -0.1948 eV per atom

abc: 3.896 3.896 3.919
angles: 90.00 90.00 90.00
Space group P4/mmm (No. 123)
Symmetry-distinct sites (fractional):
Os: 0.000 0.000 0.000 x1
Pt: 0.500 0.500 0.000 x1
W: 0.000 0.500 0.500 x2


## YOs2Pt (SCAN)

Data for a crystal of YOs2Pt relaxed with PBEsol.

Total energy ... -2.226 Ha/atom
Mass density ... 16.8 g/cm3
Density of states at the Fermi level ... 0.48 states/eV/atom
Offset from the most stable computed form ... 0.000 eV/atom
ΔE_f ... -0.1347 eV per atom

abc: 2.866 2.866 8.007
angles: 90.00 90.00 90.00
Space group P4mm (No. 99)
Symmetry-distinct sites (fractional):
Y: 0.000 0.000 0.000 x1
Os: 0.000 0.000 0.485 x1
Os: 0.500 0.500 0.283 x1
Pt: 0.500 0.500 0.727 x1


## YOs2Pt (SCAN)

Data for a crystal of YOs2Pt relaxed with PBEsol.

Total energy ... -2.217 Ha/atom
Mass density ... 16.8 g/cm3
Density of states at the Fermi level ... 1.00 states/eV/atom
Offset from the most stable computed form ... 0.266 eV/atom
ΔE_f ... 0.1314 eV per atom

abc: 3.975 3.975 8.302
angles: 90.00 90.00 90.00
Space group I4/mmm (No. 139)
Symmetry-distinct sites (fractional):
Y: 0.000 0.000 0.000 x2
Os: 0.000 0.500 0.250 x4
Pt: 0.000 0.000 0.500 x2


## YOsPt2 (SCAN)

Data for a crystal of YOsPt2 relaxed with PBEsol.

Total energy ... -2.213 Ha/atom
Mass density ... 16.8 g/cm3
Density of states at the Fermi level ... 0.86 states/eV/atom
Offset from the most stable computed form ... 0.096 eV/atom
ΔE_f ... -0.1929 eV per atom

abc: 2.839 2.839 8.208
angles: 90.00 90.00 90.00
Space group P4/mmm (No. 123)
Symmetry-distinct sites (fractional):
Y: 0.000 0.000 0.000 x1
Os: 0.000 0.000 0.500 x1
Pt: 0.500 0.500 0.273 x2


## YOs2Pt (SCAN)

Data for a crystal of YOs2Pt relaxed with PBEsol.

Total energy ... -2.225 Ha/atom
Mass density ... 17.0 g/cm3
Density of states at the Fermi level ... 1.10 states/eV/atom
Offset from the most stable computed form ... 0.047 eV/atom
ΔE_f ... -0.0876 eV per atom

abc: 3.943 3.943 4.184
angles: 90.00 90.00 90.00
Space group P4/mmm (No. 123)
Symmetry-distinct sites (fractional):
Y: 0.000 0.000 0.000 x1
Os: 0.000 0.500 0.500 x2
Pt: 0.500 0.500 0.000 x1


## YOsPt2 (SCAN)

Data for a crystal of YOsPt2 relaxed with PBEsol.

Total energy ... -2.217 Ha/atom
Mass density ... 16.7 g/cm3
Density of states at the Fermi level ... 1.56 states/eV/atom
Offset from the most stable computed form ... 0.000 eV/atom
ΔE_f ... -0.2890 eV per atom

abc: 4.043 4.043 8.159
angles: 90.00 90.00 90.00
Space group I-4m2 (No. 119)
Symmetry-distinct sites (fractional):
Y: 0.000 0.000 0.000 x2
Os: 0.000 0.500 0.250 x2
Pt: 0.000 0.000 0.500 x2
Pt: 0.000 0.500 0.750 x2